Record 1
Below is NbCrH4 after structural relaxation, with properties calculated at the PBE-GGA level.

Unit cell a=3.0378 b=3.0377 c=4.3886 alpha=90.00 beta=90.00 gamma=90.00
With the nearest neighbours (Å) after each atom.
Element x y z (fractional)
H 0.5013 0.9973 0.7134  2 Cr 1.79, 1 H 1.89, 2 Nb 1.97
H 0.5013 0.9973 0.2829  2 Cr 1.79, 1 H 1.89, 2 Nb 1.97
Nb 0.5013 0.4973 0.9981  8 H 1.97
Cr 0.0013 0.9972 0.4981  8 H 1.79
H 0.0013 0.4973 0.2829  2 Cr 1.79, 1 H 1.89, 2 Nb 1.97
H 0.0013 0.4973 0.7134  2 Cr 1.79, 1 H 1.89, 2 Nb 1.97

---

Record 2
Below is MgAsWSe2 after structural relaxation, with properties calculated at the PBE-GGA level.

Unit cell a=4.9780 b=4.9780 c=4.9353 alpha=90.00 beta=90.00 gamma=90.00
With the nearest neighbours (Å) after each atom.
Element x y z (fractional)
Se 0.0000 0.5000 0.0000  2 W 2.49
Mg 0.5000 0.5000 0.5000  8 Se 3.50, 4 As 3.52
Se 0.5000 0.0000 0.0000  2 W 2.49
W 0.0000 0.0000 0.0000  2 As 2.47, 4 Se 2.49
As 0.0000 0.0000 0.5000  2 W 2.47

Properties
raw formation energy = 244.5 meV/atom
offset from the most stable computed form = 0.000 eV/atom

---

Record 3
Below is Ti2AgGe2 after structural relaxation, with properties calculated at the PBE-GGA level.

Unit cell a=7.7527 b=7.7527 c=2.8874 alpha=90.00 beta=90.00 gamma=90.00
With the nearest neighbours (Å) after each atom.
Element x y z (fractional)
Ti 0.3740 0.8740 0.0000  6 Ge 2.64-2.75, 3 Ti 2.76-2.89
Ge 0.1720 0.6720 0.5000  6 Ti 2.64-2.75, 2 Ge 2.89
Ag 0.5000 0.5000 0.0000  2 Ag 2.89, 4 Ti 3.06, 8 Ge 3.21
Ti 0.8740 0.6260 0.0000  6 Ge 2.64-2.75, 3 Ti 2.76-2.89
Ti 0.6260 0.1260 0.0000  6 Ge 2.64-2.75, 3 Ti 2.76-2.89
Ge 0.8280 0.3280 0.5000  6 Ti 2.64-2.75, 2 Ge 2.89
Ag 0.0000 0.0000 0.0000  2 Ag 2.89, 4 Ti 3.06, 8 Ge 3.21
Ge 0.3280 0.1720 0.5000  6 Ti 2.64-2.75, 2 Ge 2.89
Ti 0.1260 0.3740 0.0000  6 Ge 2.64-2.75, 3 Ti 2.76-2.89
Ge 0.6720 0.8280 0.5000  6 Ti 2.64-2.75, 2 Ge 2.89

Properties
energy relative to the elements = -198.8 meV per atom
offset from the most stable computed form = 0.144 eV/atom

---

Record 4
Below is Dy6YHo8 after structural relaxation, with properties calculated at the PBE-GGA level.

Unit cell a=8.9946 b=8.9946 c=8.5857 alpha=58.41 beta=58.41 gamma=60.00
With the nearest neighbours (Å) after each atom.
Element x y z (fractional)
Y 0.0000 0.0000 0.0000  6 Dy 3.41, 6 Ho 3.51
Ho 0.8899 0.2569 0.5743  3 Dy 3.37-3.72, 5 Ho 3.39-3.40, 1 Y 3.51
Ho 0.5766 0.5766 0.2701  4 Ho 3.14-3.40, 3 Dy 3.35
Dy 0.1095 0.2272 0.1237  4 Ho 3.35-3.72, 1 Y 3.41, 4 Dy 3.46-3.72
Ho 0.2788 0.8899 0.5743  3 Dy 3.37-3.72, 5 Ho 3.39-3.40, 1 Y 3.51
Dy 0.8905 0.7728 0.8763  4 Ho 3.35-3.72, 1 Y 3.41, 4 Dy 3.46-3.72
Dy 0.5396 0.1095 0.1237  4 Ho 3.35-3.72, 1 Y 3.41, 4 Dy 3.46-3.72
Dy 0.7728 0.4604 0.8763  4 Ho 3.35-3.72, 1 Y 3.41, 4 Dy 3.46-3.72
Dy 0.4604 0.8905 0.8763  4 Ho 3.35-3.72, 1 Y 3.41, 4 Dy 3.46-3.72
Dy 0.2272 0.5396 0.1237  4 Ho 3.35-3.72, 1 Y 3.41, 4 Dy 3.46-3.72
Ho 0.2569 0.2788 0.5743  3 Dy 3.37-3.72, 5 Ho 3.39-3.40, 1 Y 3.51
Ho 0.7431 0.7212 0.4257  3 Dy 3.37-3.72, 5 Ho 3.39-3.40, 1 Y 3.51
Ho 0.7212 0.1101 0.4257  3 Dy 3.37-3.72, 5 Ho 3.39-3.40, 1 Y 3.51
Ho 0.1101 0.7431 0.4257  3 Dy 3.37-3.72, 5 Ho 3.39-3.40, 1 Y 3.51
Ho 0.4234 0.4234 0.7299  4 Ho 3.14-3.40, 3 Dy 3.35

Properties
energy relative to the elements = 131.0 meV per atom
offset from the most stable computed form = 0.000 eV/atom

---

Record 5
Below is AlAs2Os after structural relaxation, with properties calculated at the PBE-GGA level.

Unit cell a=4.5511 b=4.5511 c=3.2186 alpha=90.00 beta=90.00 gamma=106.36
With the nearest neighbours (Å) after each atom.
Element x y z (fractional)
As 0.0000 0.0000 0.0000  2 As 2.73, 4 Os 2.79, 4 Al 2.79
As 0.5000 0.5000 0.0000  2 As 2.73, 4 Al 2.79, 4 Os 2.79
Al 0.0000 0.5000 0.5000  2 Os 2.73, 8 As 2.79
Os 0.5000 0.0000 0.5000  2 Al 2.73, 8 As 2.79

Properties
energy relative to the elements = 333.7 meV per atom

---

Record 6
Below is RbTaFeGeTe after structural relaxation, with properties calculated at the PBE-GGA level.

Unit cell a=4.1587 b=4.1587 c=25.2069 alpha=90.00 beta=90.00 gamma=120.00
With the nearest neighbours (Å) after each atom.
Element x y z (fractional)
Rb 0.3333 0.6667 0.9428  3 Ge 3.58, 3 Te 3.61, 3 Fe 3.96, 1 Ta 4.00
Fe 0.3333 0.6667 0.4012  3 Ge 2.45, 1 Te 2.55, 3 Ta 2.55
Ta 0.6667 0.3333 0.7683  3 Fe 2.55, 3 Ge 2.75
Te 0.0000 0.0000 0.8356  1 Fe 2.55
Rb 0.0000 0.0000 0.2761  3 Ge 3.58, 3 Te 3.61, 3 Fe 3.96, 1 Ta 4.00
Te 0.6667 0.3333 0.1689  1 Fe 2.55
Ta 0.3333 0.6667 0.1016  3 Fe 2.55, 3 Ge 2.75
Ge 0.3333 0.6667 0.7147  3 Fe 2.45
Fe 0.6667 0.3333 0.0679  3 Ge 2.45, 1 Te 2.55, 3 Ta 2.55
Ge 0.6667 0.3333 0.3814  3 Fe 2.45
Te 0.3333 0.6667 0.5023  1 Fe 2.55
Fe 0.0000 0.0000 0.7346  3 Ge 2.45, 1 Te 2.55, 3 Ta 2.55
Ge 0.0000 0.0000 0.0481  3 Fe 2.45
Rb 0.6667 0.3333 0.6094  3 Ge 3.58, 3 Te 3.61, 3 Fe 3.96, 1 Ta 4.00
Ta 0.0000 0.0000 0.4350  3 Fe 2.55, 3 Ge 2.75

Properties
raw formation energy = -290.6 meV/atom
offset from the most stable computed form = 0.001 eV/atom

---

Record 7
Below is CdPb2 after structural relaxation, with properties calculated at the PBE-GGA level.

Unit cell a=6.4969 b=6.4969 c=6.4969 alpha=60.00 beta=60.00 gamma=60.00
With the nearest neighbours (Å) after each atom.
Element x y z (fractional)
Pb 0.1250 0.6250 0.1250  6 Pb 3.25
Cd 0.7500 0.7500 0.7500  12 Pb 3.81, 4 Cd 3.98
Pb 0.6250 0.1250 0.1250  6 Pb 3.25
Cd 0.5000 0.5000 0.5000  12 Pb 3.81, 4 Cd 3.98
Pb 0.1250 0.1250 0.6250  6 Pb 3.25
Pb 0.1250 0.1250 0.1250  6 Pb 3.25

Properties
energy relative to the elements = 221.1 meV per atom
offset from the most stable computed form = 0.187 eV/atom

---

Record 8
Below is NpPa2Sn after structural relaxation, with properties calculated at the PBE-GGA level.

Unit cell a=5.1785 b=5.1785 c=5.1785 alpha=60.00 beta=60.00 gamma=60.00
With the nearest neighbours (Å) after each atom.
Element x y z (fractional)
Pa 0.2500 0.2500 0.2500  4 Sn 3.17, 4 Np 3.17
Pa 0.7500 0.7500 0.7500  4 Sn 3.17, 4 Np 3.17
Sn 0.5000 0.5000 0.5000  8 Pa 3.17
Np 0.0000 0.0000 0.0000  8 Pa 3.17

Properties
energy relative to the elements = 110.8 meV per atom
offset from the most stable computed form = 0.157 eV/atom

---

Number 1: V 6.75 A^3/atom, E -5.628 eV/atom. Number 2: V 24.46 A^3/atom, E -4.989 eV/atom. Number 3: V 17.35 A^3/atom, E -5.774 eV/atom. Number 4: V 31.94 A^3/atom, E -4.582 eV/atom. Number 5: V 15.99 A^3/atom, E -5.734 eV/atom. Number 6: V 25.17 A^3/atom, E -6.099 eV/atom. Number 7: V 32.32 A^3/atom, E -2.556 eV/atom. Number 8: V 24.55 A^3/atom, E -8.873 eV/atom.